(1)
# CeNi9Ge4

CeNi9Ge4 at its PBEsol-relaxed geometry (meta-GGA SCAN, Alexandria).

Total moment   0.79 μB/f.u.
Space group   I4/mcm, No. 140
Energy of formation   -0.427 eV per atom

CIF file:
```
data_CeNi9Ge4
_symmetry_space_group_name_H-M 'P 1'
_symmetry_Int_Tables_number 1
_cell_length_a 7.843
_cell_length_b 8.016
_cell_length_c 7.843
_cell_angle_alpha 60.71
_cell_angle_beta 90.00
_cell_angle_gamma 119.29
loop_
_symmetry_equiv_pos_as_xyz
'x,y,z'
loop_
_atom_site_label
_atom_site_type_symbol
_atom_site_fract_x
_atom_site_fract_y
_atom_site_fract_z
Ce1 Ce 0.750 0.500 0.250
Ce2 Ce 0.250 0.500 0.750
Ni1 Ni 0.943 0.636 0.807
Ni2 Ni 0.693 0.636 0.557
Ni3 Ni 0.443 0.636 0.057
Ni4 Ni 0.193 0.636 0.307
Ni5 Ni 0.057 0.364 0.193
Ni6 Ni 0.307 0.364 0.443
Ni7 Ni 0.557 0.364 0.943
Ni8 Ni 0.807 0.364 0.693
Ni9 Ni 0.204 0.000 0.067
Ni10 Ni 0.796 0.000 0.933
Ni11 Ni 0.704 0.000 0.433
Ni12 Ni 0.296 0.000 0.567
Ni13 Ni 0.933 0.000 0.204
Ni14 Ni 0.067 0.000 0.796
Ni15 Ni 0.567 0.000 0.704
Ni16 Ni 0.433 0.000 0.296
Ni17 Ni 0.000 0.000 0.500
Ni18 Ni 0.500 0.000 0.000
Ge1 Ge 0.204 0.756 0.948
Ge2 Ge 0.552 0.756 0.296
Ge3 Ge 0.704 0.756 0.796
Ge4 Ge 0.052 0.756 0.448
Ge5 Ge 0.796 0.244 0.052
Ge6 Ge 0.448 0.244 0.704
Ge7 Ge 0.296 0.244 0.204
Ge8 Ge 0.948 0.244 0.552
```

***

(2)
# Ce2NiGe3

Ce2NiGe3 at its PBEsol-relaxed geometry (meta-GGA SCAN, Alexandria).

Total moment   0.00 μB/f.u.
Energy above the lowest structure with this stoichiometry   73 meV/atom
Space group   P-6m2, No. 187
Energy of formation   -0.715 eV per atom

CIF file:
```
data_Ce2NiGe3
_symmetry_space_group_name_H-M 'P 1'
_symmetry_Int_Tables_number 1
_cell_length_a 4.180
_cell_length_b 4.180
_cell_length_c 7.777
_cell_angle_alpha 90.00
_cell_angle_beta 90.00
_cell_angle_gamma 120.00
loop_
_symmetry_equiv_pos_as_xyz
'x,y,z'
loop_
_atom_site_label
_atom_site_type_symbol
_atom_site_fract_x
_atom_site_fract_y
_atom_site_fract_z
Ce1 Ce 0.333 0.667 0.764
Ce2 Ce 0.333 0.667 0.236
Ni1 Ni 0.000 0.000 0.000
Ge1 Ge 0.000 0.000 0.500
Ge2 Ge 0.667 0.333 0.000
Ge3 Ge 0.667 0.333 0.500
```

***

(3)
# Ce2NiGe3

Ce2NiGe3 at its PBEsol-relaxed geometry (meta-GGA SCAN, Alexandria).

Total moment   1.70 μB/f.u.
Energy above the lowest structure with this stoichiometry   0 meV/atom
Space group   P6/mmm, No. 191
Energy of formation   -0.788 eV per atom

CIF file:
```
data_Ce2NiGe3
_symmetry_space_group_name_H-M 'P 1'
_symmetry_Int_Tables_number 1
_cell_length_a 4.082
_cell_length_b 8.202
_cell_length_c 8.202
_cell_angle_alpha 120.00
_cell_angle_beta 90.00
_cell_angle_gamma 90.00
loop_
_symmetry_equiv_pos_as_xyz
'x,y,z'
loop_
_atom_site_label
_atom_site_type_symbol
_atom_site_fract_x
_atom_site_fract_y
_atom_site_fract_z
Ce1 Ce 0.500 0.000 0.000
Ce2 Ce 0.500 0.000 0.500
Ce3 Ce 0.500 0.500 0.000
Ce4 Ce 0.500 0.500 0.500
Ni1 Ni 0.000 0.333 0.667
Ni2 Ni 0.000 0.667 0.333
Ge1 Ge 0.000 0.172 0.345
Ge2 Ge 0.000 0.172 0.828
Ge3 Ge 0.000 0.655 0.828
Ge4 Ge 0.000 0.828 0.655
Ge5 Ge 0.000 0.345 0.172
Ge6 Ge 0.000 0.828 0.172
```

***

(4)
# CeGePd

CeGePd at its PBEsol-relaxed geometry (meta-GGA SCAN, Alexandria).

Total moment   0.47 μB/f.u.
Space group   C2/m, No. 12
Energy of formation   -0.905 eV per atom

CIF file:
```
data_CeGePd
_symmetry_space_group_name_H-M 'P 1'
_symmetry_Int_Tables_number 1
_cell_length_a 4.414
_cell_length_b 5.528
_cell_length_c 5.724
_cell_angle_alpha 77.42
_cell_angle_beta 67.32
_cell_angle_gamma 66.47
loop_
_symmetry_equiv_pos_as_xyz
'x,y,z'
loop_
_atom_site_label
_atom_site_type_symbol
_atom_site_fract_x
_atom_site_fract_y
_atom_site_fract_z
Ge1 Ge 0.842 0.220 0.096
Ge2 Ge 0.158 0.780 0.904
Pd1 Pd 0.179 0.358 0.284
Pd2 Pd 0.821 0.642 0.716
Ce1 Ce 0.540 0.227 0.693
Ce2 Ce 0.460 0.773 0.307
```

***

(5)
# CeGe2Pd2

CeGe2Pd2 at its PBEsol-relaxed geometry (meta-GGA SCAN, Alexandria).

Total moment   0.79 μB/f.u.
Space group   I4/mmm, No. 139
Energy of formation   -0.890 eV per atom

CIF file:
```
data_CeGe2Pd2
_symmetry_space_group_name_H-M 'P 1'
_symmetry_Int_Tables_number 1
_cell_length_a 4.225
_cell_length_b 4.225
_cell_length_c 5.893
_cell_angle_alpha 111.01
_cell_angle_beta 111.01
_cell_angle_gamma 90.00
loop_
_symmetry_equiv_pos_as_xyz
'x,y,z'
loop_
_atom_site_label
_atom_site_type_symbol
_atom_site_fract_x
_atom_site_fract_y
_atom_site_fract_z
Ge1 Ge 0.381 0.381 0.761
Ge2 Ge 0.619 0.619 0.239
Pd1 Pd 0.750 0.250 0.500
Pd2 Pd 0.250 0.750 0.500
Ce1 Ce 0.000 0.000 0.000
```

***

(6)
# CeGePd

CeGePd at its PBEsol-relaxed geometry (meta-GGA SCAN, Alexandria).

Total moment   0.44 μB/f.u.
Space group   Pnma, No. 62
Energy of formation   -1.005 eV per atom

CIF file:
```
data_CeGePd
_symmetry_space_group_name_H-M 'P 1'
_symmetry_Int_Tables_number 1
_cell_length_a 4.401
_cell_length_b 7.124
_cell_length_c 7.505
_cell_angle_alpha 90.00
_cell_angle_beta 90.00
_cell_angle_gamma 90.00
loop_
_symmetry_equiv_pos_as_xyz
'x,y,z'
loop_
_atom_site_label
_atom_site_type_symbol
_atom_site_fract_x
_atom_site_fract_y
_atom_site_fract_z
Ge1 Ge 0.750 0.699 0.090
Ge2 Ge 0.750 0.199 0.410
Ge3 Ge 0.250 0.301 0.910
Ge4 Ge 0.250 0.801 0.590
Pd1 Pd 0.750 0.297 0.082
Pd2 Pd 0.750 0.797 0.418
Pd3 Pd 0.250 0.203 0.582
Pd4 Pd 0.250 0.703 0.918
Ce1 Ce 0.250 0.995 0.208
Ce2 Ce 0.750 0.505 0.708
Ce3 Ce 0.250 0.495 0.292
Ce4 Ce 0.750 0.005 0.792
```

***

- Which of these has the highest energy of formation?
  CeNi9Ge4

***

- Look up the energy of formation of the sixth one.
  -1.005 eV per atom